Record 1
Entry from Alexandria: ScInIrN2 after structural relaxation (PBE-GGA).

Cell lengths 4.131, 5.282, 4.131 Å; angles 90.00, 90.00, 90.00 degrees
Each line ends with the local moment (μB).
Fractional positions:
N 0.500 0.000 0.000  0.91
In 0.000 0.000 0.000  0.01
Ir 0.000 0.500 0.000  0.65
Sc 0.500 0.500 0.500  -0.10
N 0.000 0.000 0.500  0.76

Results
As for the volume: 90.1 Å³/f.u. As for the uncorrected formation energy: 1365 meV/atom.


Record 2
Entry from Alexandria: ZrCl after structural relaxation (PBE-GGA).

Cell lengths 4.017, 4.017, 5.598 Å; angles 90.00, 90.00, 90.00 degrees
Fractional positions:
Cl 0.250 0.750 0.000
Zr 0.750 0.750 0.673
Zr 0.250 0.250 0.327
Cl 0.750 0.250 0.000

Results
As for the volume: 45.2 Å³/f.u. As for the uncorrected formation energy: -461 meV/atom.


Record 3
Entry from Alexandria: CdSnTe2Ru after structural relaxation (PBE-GGA).

Cell lengths 5.229, 5.133, 5.229 Å; angles 90.00, 90.00, 90.00 degrees
Fractional positions:
Ru 0.000 0.000 0.000
Te 0.000 0.000 0.500
Te 0.500 0.000 0.000
Sn 0.500 0.500 0.500
Cd 0.000 0.500 0.000

Results
As for the volume: 140.4 Å³/f.u. As for the uncorrected formation energy: 324 meV/atom.


Record 4
Entry from Alexandria: CdHgH after structural relaxation (PBE-GGA).

Cell lengths 3.562, 3.562, 5.206 Å; angles 90.00, 90.00, 120.00 degrees
Fractional positions:
H 0.667 0.333 0.500
Cd 0.333 0.667 0.500
Hg 0.000 0.000 0.000

Results
As for the volume: 57.2 Å³/f.u. The calculation puts the distance to the lowest polymorph of the same formula at 196 meV/atom.


| no. | total energy (eV for the cell shown) |
| --- | --- |
| 1 | -27.8 |
| 2 | -22.6 |
| 3 | -18.9 |
| 4 | -3.7 |